SnGeS3 | PBE-GGA | relaxed

Summary:
Space group: Pm-3m, No. 221
VASP energy: -20.470 eV for the cell shown
Raw formation energy: 0.11 eV/atom
Magnetic moment: 0.00 μB/cell

Unit cell a=4.756 b=4.756 c=4.756 alpha=90.00 beta=90.00 gamma=90.00
Sites, in units of the cell vectors:
S1 0.000 0.500 0.000
S2 0.000 0.000 0.500
S3 0.500 0.000 0.000
Ge1 0.000 0.000 0.000
Sn1 0.500 0.500 0.500